Record 1
LaTb2Br PBE optimized geometry; V = 30.85 Å³ per atom; formation energy without anion corrections = -294.1 meV/atom; symmetry = R-3m
1.0
1.7527 1.0119 11.5975
-1.7527 1.0119 11.5975
0.0000 -2.0238 11.5975
La Tb Br
1 2 1
direct
0.0000 0.0000 0.0000
0.0987 0.0987 0.0987
0.9013 0.9013 0.9013
0.5000 0.5000 0.5000

Record 2
Sr2Ac3Tl4 PBE optimized geometry; V = 36.47 Å³ per atom; E_form = -277 kJ/mol of formula units; symmetry = C2/m; energy above the most stable polymorph in this dataset = 0.000 eV/atom
1.0
5.0105 -2.8993 0.0000
5.0105 2.8993 0.0000
-0.0262 0.0000 11.2983
Sr Ac Tl
2 3 4
direct
0.1669 0.1669 0.2829
0.8331 0.8331 0.7171
0.1667 0.1667 0.9086
0.5000 0.5000 0.5000
0.8333 0.8333 0.0914
0.1662 0.1662 0.5946
0.4998 0.4998 0.1493
0.5002 0.5002 0.8507
0.8338 0.8338 0.4054

Record 3
Er3PuS6 PBE optimized geometry; V = 22.94 Å³ per atom; formation energy without anion corrections = -1964.2 meV/atom; symmetry = P2_1/m
1.0
11.0016 0.0000 0.0000
0.0000 3.9384 0.0000
-3.5814 0.0000 10.5895
Er Pu S
6 2 12
direct
0.0649 0.2500 0.1669
0.1795 0.7500 0.5024
0.3407 0.2500 0.9165
0.6593 0.7500 0.0835
0.8205 0.2500 0.4976
0.9351 0.7500 0.8331
0.4529 0.2500 0.3118
0.5471 0.7500 0.6882
0.0223 0.2500 0.3874
0.1028 0.2500 0.9367
0.2415 0.7500 0.2751
0.3059 0.7500 0.7509
0.3840 0.2500 0.5393
0.4186 0.7500 0.0981
0.5814 0.2500 0.9019
0.6160 0.7500 0.4607
0.6941 0.2500 0.2491
0.7585 0.2500 0.7249
0.8972 0.7500 0.0633
0.9777 0.7500 0.6126